*a*
ZnSbAs3 | PBE-GGA | optimized geometry

Cell: 4.862 4.862 4.862 Å, 90.00 90.00 90.00°
Space group Pm-3m (No. 221)
Symmetry-distinct sites (fractional):
Zn (0.000, 0.000, 0.000) [1 per cell]
Sb (0.500, 0.500, 0.500) [1 per cell]
As (0.000, 0.000, 0.500) [3 per cell]

---

*b*
ZnSbAs3 | PBE-GGA | optimized geometry

Cell: 5.311 5.311 5.311 Å, 90.00 90.00 90.00°
Space group Pm-3m (No. 221)
Symmetry-distinct sites (fractional):
Zn (0.000, 0.000, 0.000) [1 per cell]
Sb (0.500, 0.500, 0.500) [1 per cell]
As (0.000, 0.500, 0.500) [3 per cell]

---

Which of them is the least stable? Correct choice: *b*.